The following is a PBE calculation of NaPrNiSe3 after structural relaxation, from OQMD.

Cell lengths 11.4141, 4.1664, 12.0569 Å; angles 90.00, 90.00, 90.00 degrees
Atoms (fractional coordinates):
Na 0.1773 0.2500 0.0021
Na 0.3227 0.7500 0.5021
Na 0.6773 0.2500 0.4979
Na 0.8227 0.7500 0.9979
Pr 0.0170 0.2500 0.3192
Pr 0.4830 0.7500 0.8192
Pr 0.5170 0.2500 0.1808
Pr 0.9830 0.7500 0.6808
Ni 0.2493 0.2500 0.7160
Ni 0.2507 0.7500 0.2160
Ni 0.7493 0.2500 0.7840
Ni 0.7507 0.7500 0.2840
Se 0.0554 0.7500 0.1460
Se 0.1207 0.2500 0.5589
Se 0.2179 0.7500 0.8047
Se 0.2821 0.2500 0.3047
Se 0.3793 0.7500 0.0589
Se 0.4446 0.2500 0.6460
Se 0.5554 0.7500 0.3540
Se 0.6207 0.2500 0.9411
Se 0.7179 0.7500 0.6953
Se 0.7821 0.2500 0.1953
Se 0.8793 0.7500 0.4411
Se 0.9446 0.2500 0.8540

Its space group is Pnma, No. 62. For the uncorrected energy, the calculation gives -4.779 eV/atom.


The following is a PBE calculation of ErZrS2O after structural relaxation, from OQMD.

Cell lengths 6.2294, 6.2294, 8.5500 Å; angles 94.63, 94.63, 32.80 degrees
Atoms (fractional coordinates):
Er 0.2371 0.2371 0.3088
Er 0.7629 0.7629 0.6912
Zr 0.0000 0.0000 0.0000
Zr 0.5000 0.5000 0.5000
S 0.0765 0.0765 0.7158
S 0.3515 0.3515 0.9170
S 0.6485 0.6485 0.0830
S 0.9235 0.9235 0.2842
O 0.3329 0.3329 0.5606
O 0.6671 0.6671 0.4394

Its space group is C2/m, No. 12. For the uncorrected energy, the calculation gives -7.549 eV/atom.


The following is a PBE calculation of LaPrGeI2 after structural relaxation, from OQMD.

Cell lengths 4.4597, 4.4597, 10.9201 Å; angles 90.00, 90.00, 120.00 degrees
Atoms (fractional coordinates):
La 0.0000 0.0000 0.0000
Pr 0.6667 0.3333 0.3087
Ge 0.3333 0.6667 0.1552
I 0.0000 0.0000 0.4956
I 0.6667 0.3333 0.8099

Its space group is P3m1, No. 156. For the uncorrected energy, the calculation gives -4.740 eV/atom.


Question: Number 2 is which compound?
Answer: ErZrS2O